Record 1
Entry from the Alexandria database: a relaxed LiGe2Pd7 crystal (GGA-PBE).

a b c (Å): 7.3540 11.9899 4.3671
angles (deg): 90.00 90.00 90.00
Space group Cmmm (No. 65)
Symmetry-distinct sites (fractional):
1 Li 0.0000 0.0000 0.0000 (multiplicity 2)
2 Ge 0.0000 0.2996 0.5000 (multiplicity 4)
3 Pd 0.0000 0.2143 0.0000 (multiplicity 4)
4 Pd 0.0000 0.5000 0.5000 (multiplicity 2)
5 Pd 0.1895 0.1201 0.5000 (multiplicity 8)

Properties
* crystal system: orthorhombic


Record 2
Entry from the Alexandria database: a relaxed Li5Ge2Pd4 crystal (GGA-PBE).

a b c (Å): 18.1639 2.7795 6.8600
angles (deg): 90.00 94.93 90.00
Space group C2/m (No. 12)
Symmetry-distinct sites (fractional):
1 Li 0.0000 0.0000 0.0000 (multiplicity 2)
2 Li 0.1432 0.5000 0.0786 (multiplicity 4)
3 Li 0.1887 0.5000 0.4372 (multiplicity 4)
4 Ge 0.0910 0.5000 0.7013 (multiplicity 4)
5 Pd 0.0478 0.5000 0.3376 (multiplicity 4)
6 Pd 0.2287 0.5000 0.8138 (multiplicity 4)

Properties
* crystal system: monoclinic


Which final energy belongs to each record? In order, -96.69 -85.59 eV/cell.
Which total moment belongs to each record? In order, 0.000 0.000 μB per formula unit.
Which E_form belongs to each record? In order, -0.08 -0.29 eV/atom.